! CsHgSbSe2, optimized geometry, DFT PBE; values from VASP
&SYSTEM
  ibrav = 0, nat = 5, ntyp = 4
/
ATOMIC_SPECIES
Se 78.96 Se.upf
Cs 132.91 Cs.upf
Sb 121.76 Sb.upf
Hg 200.59 Hg.upf
CELL_PARAMETERS angstrom
5.580 0.000 0.000
0.000 5.580 0.000
0.000 0.000 5.688
ATOMIC_POSITIONS crystal
Se 0.500 0.000 0.000
Cs 0.500 0.500 0.500
Sb 0.000 0.000 0.000
Hg 0.000 0.000 0.500
Se 0.000 0.500 0.000
! - formation energy (no corrections) (kJ/mol of formula units) = -181

! HfCd2Bi, optimized geometry, DFT PBE; values from VASP
&SYSTEM
  ibrav = 0, nat = 4, ntyp = 3
/
ATOMIC_SPECIES
Hf 178.49 Hf.upf
Cd 112.41 Cd.upf
Bi 208.98 Bi.upf
CELL_PARAMETERS angstrom
3.269 0.000 0.000
1.634 2.831 0.000
1.634 0.944 11.499
ATOMIC_POSITIONS crystal
Hf 0.000 0.000 0.000
Cd 0.915 0.915 0.254
Cd 0.085 0.085 0.746
Bi 0.500 0.500 0.500
! - energy of formation (meV/atom) = 403

! Ac4Ge2AsS, optimized geometry, DFT PBE; values from VASP
&SYSTEM
  ibrav = 0, nat = 8, ntyp = 4
/
ATOMIC_SPECIES
Ge 72.64 Ge.upf
Ac 227.00 Ac.upf
S 32.06 S.upf
As 74.92 As.upf
CELL_PARAMETERS angstrom
4.486 0.000 0.000
0.000 7.777 0.130
0.000 -2.726 7.499
ATOMIC_POSITIONS crystal
Ge 0.000 0.500 0.500
Ac 0.000 0.749 0.246
Ac 0.500 0.751 0.753
Ge 0.500 0.000 0.500
Ac 0.500 0.249 0.247
S 0.000 0.000 0.000
As 0.500 0.500 0.000
Ac 0.000 0.251 0.754
! - formation energy (no corrections) (kJ/mol of formula units) = -920

! Sm2ThCo, optimized geometry, DFT PBE; values from VASP
&SYSTEM
  ibrav = 0, nat = 4, ntyp = 3
/
ATOMIC_SPECIES
Sm 150.36 Sm.upf
Th 232.04 Th.upf
Co 58.93 Co.upf
CELL_PARAMETERS angstrom
-3.552 0.377 0.008
-1.825 -0.209 -3.064
-2.888 -10.285 0.339
ATOMIC_POSITIONS crystal
Sm 0.112 0.112 0.665
Th 0.000 0.000 0.000
Co 0.500 0.500 0.500
Sm 0.888 0.888 0.335
! - energy of formation (meV/atom) = 244
! - excess energy over the best structure of this formula in the dataset (eV/f.u.) = 1.59

! ErTm2Pu, optimized geometry, DFT PBE; values from VASP
&SYSTEM
  ibrav = 0, nat = 4, ntyp = 3
/
ATOMIC_SPECIES
Tm 168.93 Tm.upf
Pu 244.00 Pu.upf
Er 167.26 Er.upf
CELL_PARAMETERS angstrom
-0.054 -1.596 3.107
1.509 -3.127 0.384
10.135 3.418 3.896
ATOMIC_POSITIONS crystal
Tm 0.083 0.083 0.752
Pu 0.666 0.666 0.002
Er 0.501 0.501 0.498
Tm 0.251 0.251 0.248
! - energy of formation (meV/atom) = 82
! - excess energy over the best structure of this formula in the dataset (eV/f.u.) = 0.00

! CuSiTc2, optimized geometry, DFT PBE; values from VASP
&SYSTEM
  ibrav = 0, nat = 4, ntyp = 3
/
ATOMIC_SPECIES
Cu 63.55 Cu.upf
Tc 98.00 Tc.upf
Si 28.09 Si.upf
CELL_PARAMETERS angstrom
-6.032 -5.242 2.705
-3.801 -6.708 3.427
-4.762 -4.734 5.108
ATOMIC_POSITIONS crystal
Cu 0.250 0.250 0.250
Tc 0.004 0.004 0.004
Tc 0.496 0.496 0.496
Si 0.750 0.750 0.750
! - formation energy (no corrections) (kJ/mol of formula units) = 19

! Tb2SmI8, optimized geometry, DFT PBE; values from VASP
&SYSTEM
  ibrav = 0, nat = 11, ntyp = 3
/
ATOMIC_SPECIES
I 126.90 I.upf
Tb 158.93 Tb.upf
Sm 150.36 Sm.upf
CELL_PARAMETERS angstrom
-7.004 -2.326 0.368
0.123 2.204 9.836
-2.424 8.943 3.968
ATOMIC_POSITIONS crystal
I 0.208 0.848 0.848
Tb 0.390 0.151 0.151
I 0.247 0.314 0.818
I 0.699 0.695 0.695
Tb 0.610 0.849 0.849
I 0.753 0.182 0.686
Sm 0.000 0.000 0.000
I 0.301 0.305 0.305
I 0.753 0.686 0.182
I 0.792 0.152 0.152
I 0.247 0.818 0.314
! - formation energy (no corrections) (kJ/mol of formula units) = -1302

! K2TmNp3O12, optimized geometry, DFT PBE; values from VASP
&SYSTEM
  ibrav = 0, nat = 18, ntyp = 4
/
ATOMIC_SPECIES
O 16.00 O.upf
K 39.10 K.upf
Tm 168.93 Tm.upf
Np 237.00 Np.upf
CELL_PARAMETERS angstrom
7.732 -0.118 -0.084
3.716 6.782 -0.084
3.716 2.163 6.428
ATOMIC_POSITIONS crystal
O 0.665 0.071 0.071
O 0.688 0.688 0.060
O 0.060 0.688 0.688
O 0.688 0.060 0.688
K 0.336 0.336 0.336
Tm 0.000 0.000 0.000
O 0.312 0.940 0.312
Np 0.500 0.000 0.000
O 0.929 0.929 0.335
O 0.312 0.312 0.940
O 0.071 0.071 0.665
O 0.335 0.929 0.929
O 0.929 0.335 0.929
K 0.664 0.664 0.664
Np 0.000 0.500 0.000
Np 0.000 0.000 0.500
O 0.071 0.665 0.071
O 0.940 0.312 0.312
! - formation energy (no corrections) (kJ/mol of formula units) = -4748

! Nb2CdC, optimized geometry, DFT PBE; values from VASP
&SYSTEM
  ibrav = 0, nat = 4, ntyp = 3
/
ATOMIC_SPECIES
Cd 112.41 Cd.upf
C 12.01 C.upf
Nb 92.91 Nb.upf
CELL_PARAMETERS angstrom
0.000 3.146 3.146
3.146 0.000 3.146
3.146 3.146 0.000
ATOMIC_POSITIONS crystal
Cd 0.500 0.500 0.500
C 0.000 0.000 0.000
Nb 0.250 0.250 0.250
Nb 0.750 0.750 0.750
! - energy of formation (meV/atom) = 1209

! Li3Zn3Cu5, optimized geometry, DFT PBE; values from VASP
&SYSTEM
  ibrav = 0, nat = 11, ntyp = 3
/
ATOMIC_SPECIES
Li 6.94 Li.upf
Cu 63.55 Cu.upf
Zn 65.41 Zn.upf
CELL_PARAMETERS angstrom
-0.315 -2.386 0.783
5.034 -2.729 -6.290
3.349 2.035 7.550
ATOMIC_POSITIONS crystal
Li 0.500 0.829 0.000
Cu 0.500 0.000 0.323
Zn 0.000 0.431 0.431
Cu 0.500 0.323 0.000
Cu 0.500 0.333 0.667
Li 0.500 0.000 0.829
Cu 0.500 0.667 0.333
Cu 0.500 0.677 0.677
Zn 0.000 0.569 0.000
Li 0.500 0.171 0.171
Zn 0.000 0.000 0.569
! - energy of formation (meV/atom) = 220

! AcPu5Te8, optimized geometry, DFT PBE; values from VASP
&SYSTEM
  ibrav = 0, nat = 14, ntyp = 3
/
ATOMIC_SPECIES
Pu 244.00 Pu.upf
Te 127.60 Te.upf
Ac 227.00 Ac.upf
CELL_PARAMETERS angstrom
7.766 0.000 -2.715
-3.854 6.726 -2.756
-0.058 0.000 8.227
ATOMIC_POSITIONS crystal
Pu 0.500 0.000 0.500
Te 0.631 0.399 0.879
Pu 0.373 0.122 0.996
Te 0.636 0.912 0.881
Pu 0.749 0.623 0.627
Pu 0.874 0.878 0.251
Pu 0.004 0.377 0.126
Te 0.119 0.755 0.031
Te 0.768 0.248 0.369
Te 0.969 0.088 0.724
Ac 0.250 0.500 0.750
Te 0.480 0.601 0.232
Te 0.121 0.752 0.520
Te 0.276 0.245 0.364
! - formation energy (no corrections) (kJ/mol of formula units) = -1555

! CrGeRu2, optimized geometry, DFT PBE; values from VASP
&SYSTEM
  ibrav = 0, nat = 8, ntyp = 3
/
ATOMIC_SPECIES
Cr 52.00 Cr.upf
Ge 72.64 Ge.upf
Ru 101.07 Ru.upf
CELL_PARAMETERS angstrom
5.617 0.000 0.000
0.000 5.617 0.000
2.808 2.808 4.886
ATOMIC_POSITIONS crystal
Cr 0.500 0.500 0.000
Ge 0.000 0.000 0.000
Ru 0.603 0.125 0.250
Ru 0.147 0.625 0.250
Ru 0.375 0.397 0.750
Ru 0.875 0.853 0.750
Cr 0.250 0.750 0.500
Ge 0.750 0.250 0.500
! - energy of formation (meV/atom) = 795

! SbSeN2Cl, optimized geometry, DFT PBE; values from VASP
&SYSTEM
  ibrav = 0, nat = 5, ntyp = 4
/
ATOMIC_SPECIES
Cl 35.45 Cl.upf
Se 78.96 Se.upf
N 14.01 N.upf
Sb 121.76 Sb.upf
CELL_PARAMETERS angstrom
3.954 0.000 0.000
0.000 3.954 0.000
0.000 0.000 6.165
ATOMIC_POSITIONS crystal
Cl 0.500 0.500 0.500
Se 0.000 0.000 0.500
N 0.000 0.500 0.000
N 0.500 0.000 0.000
Sb 0.000 0.000 0.000
! - formation energy (no corrections) (kJ/mol of formula units) = 625
! - excess energy over the best structure of this formula in the dataset (eV/f.u.) = 0.00

! PmNiRhAu, optimized geometry, DFT PBE; values from VASP
&SYSTEM
  ibrav = 0, nat = 4, ntyp = 4
/
ATOMIC_SPECIES
Rh 102.91 Rh.upf
Ni 58.69 Ni.upf
Pm 145.00 Pm.upf
Au 196.97 Au.upf
CELL_PARAMETERS angstrom
-1.061 -0.625 -4.498
3.376 -0.904 -3.088
0.340 -4.242 -1.908
ATOMIC_POSITIONS crystal
Rh 0.750 0.750 0.750
Ni 0.250 0.250 0.250
Pm 0.000 0.000 0.000
Au 0.500 0.500 0.500
! - energy of formation (meV/atom) = -311

! Re2NiAu, optimized geometry, DFT PBE; values from VASP
&SYSTEM
  ibrav = 0, nat = 4, ntyp = 3
/
ATOMIC_SPECIES
Ni 58.69 Ni.upf
Au 196.97 Au.upf
Re 186.21 Re.upf
CELL_PARAMETERS angstrom
2.748 0.000 0.000
0.000 4.675 0.001
0.000 3.137 4.581
ATOMIC_POSITIONS crystal
Ni 0.000 0.000 0.500
Au 0.500 0.500 0.500
Re 0.500 0.500 0.000
Re 0.000 0.000 0.000
! - energy of formation (meV/atom) = 324
! - excess energy over the best structure of this formula in the dataset (eV/f.u.) = 0.50

! La2Al4SiAu3, optimized geometry, DFT PBE; values from VASP
&SYSTEM
  ibrav = 0, nat = 10, ntyp = 4
/
ATOMIC_SPECIES
La 138.91 La.upf
Al 26.98 Al.upf
Au 196.97 Au.upf
Si 28.09 Si.upf
CELL_PARAMETERS angstrom
4.470 0.000 0.000
0.000 4.470 0.000
0.000 0.000 10.384
ATOMIC_POSITIONS crystal
La 0.500 0.000 0.257
Al 0.000 0.000 0.000
La 0.000 0.500 0.743
Au 0.000 0.500 0.130
Au 0.000 0.000 0.500
Al 0.500 0.000 0.627
Al 0.500 0.500 0.000
Al 0.000 0.500 0.373
Si 0.500 0.500 0.500
Au 0.500 0.000 0.870
! - formation energy (no corrections) (kJ/mol of formula units) = -685

! TbCe2PdS4, optimized geometry, DFT PBE; values from VASP
&SYSTEM
  ibrav = 0, nat = 8, ntyp = 4
/
ATOMIC_SPECIES
Ce 140.12 Ce.upf
S 32.06 S.upf
Tb 158.93 Tb.upf
Pd 106.42 Pd.upf
CELL_PARAMETERS angstrom
6.826 0.000 0.000
3.413 4.843 0.000
3.413 0.000 4.843
ATOMIC_POSITIONS crystal
Ce 0.500 0.500 0.500
Ce 0.000 0.500 0.500
S 0.924 0.000 0.586
S 0.490 0.586 0.000
S 0.076 0.414 0.000
Tb 0.000 0.000 0.000
Pd 0.500 0.000 0.000
S 0.510 0.000 0.414
! - formation energy (no corrections) (kJ/mol of formula units) = -1196

! RbCe3Nd2Te6, optimized geometry, DFT PBE; values from VASP
&SYSTEM
  ibrav = 0, nat = 12, ntyp = 4
/
ATOMIC_SPECIES
Nd 144.24 Nd.upf
Te 127.60 Te.upf
Rb 85.47 Rb.upf
Ce 140.12 Ce.upf
CELL_PARAMETERS angstrom
4.516 0.000 0.000
0.000 9.304 0.316
-2.258 -2.692 9.643
ATOMIC_POSITIONS crystal
Nd 0.828 0.656 0.657
Te 0.004 0.270 0.008
Rb 0.500 0.000 0.000
Ce 0.837 0.171 0.674
Te 0.996 0.730 0.992
Ce 0.500 0.500 0.000
Te 0.326 0.910 0.652
Te 0.674 0.090 0.348
Nd 0.172 0.344 0.343
Ce 0.163 0.829 0.326
Te 0.335 0.415 0.671
Te 0.665 0.585 0.329
! - formation energy (no corrections) (kJ/mol of formula units) = -1543

! Sc2Mn, optimized geometry, DFT PBE; values from VASP
&SYSTEM
  ibrav = 0, nat = 9, ntyp = 2
/
ATOMIC_SPECIES
Sc 44.96 Sc.upf
Mn 54.94 Mn.upf
CELL_PARAMETERS angstrom
3.870 -6.704 0.000
3.870 6.704 0.000
0.000 0.000 3.405
ATOMIC_POSITIONS crystal
Sc 0.000 0.604 0.500
Sc 0.253 0.000 0.000
Mn 0.333 0.667 0.000
Mn 0.000 0.000 0.500
Sc 0.396 0.396 0.500
Mn 0.667 0.333 0.000
Sc 0.000 0.253 0.000
Sc 0.747 0.747 0.000
Sc 0.604 0.000 0.500
! - energy of formation (meV/atom) = 70

! TaMoAu2, optimized geometry, DFT PBE; values from VASP
&SYSTEM
  ibrav = 0, nat = 4, ntyp = 3
/
ATOMIC_SPECIES
Au 196.97 Au.upf
Ta 180.95 Ta.upf
Mo 95.94 Mo.upf
CELL_PARAMETERS angstrom
-4.135 -1.566 -1.344
-0.890 -0.613 -4.493
-0.407 -4.273 -1.713
ATOMIC_POSITIONS crystal
Au 0.250 0.250 0.250
Ta 0.750 0.750 0.750
Mo 0.500 0.500 0.500
Au 0.000 0.000 0.000
! - energy of formation (meV/atom) = 309
! - excess energy over the best structure of this formula in the dataset (eV/f.u.) = 1.12

! YCoTc2, optimized geometry, DFT PBE; values from VASP
&SYSTEM
  ibrav = 0, nat = 4, ntyp = 3
/
ATOMIC_SPECIES
Tc 98.00 Tc.upf
Co 58.93 Co.upf
Y 88.91 Y.upf
CELL_PARAMETERS angstrom
5.154 -0.013 0.000
-2.531 4.489 0.000
0.000 0.000 2.842
ATOMIC_POSITIONS crystal
Tc 0.000 0.000 0.000
Tc 0.500 0.500 0.000
Co 0.000 0.500 0.500
Y 0.500 0.000 0.500
! - energy of formation (meV/atom) = 508
! - excess energy over the best structure of this formula in the dataset (eV/f.u.) = 1.61

! Be2PRh, optimized geometry, DFT PBE; values from VASP
&SYSTEM
  ibrav = 0, nat = 4, ntyp = 3
/
ATOMIC_SPECIES
Be 9.01 Be.upf
P 30.97 P.upf
Rh 102.91 Rh.upf
CELL_PARAMETERS angstrom
-2.341 -1.977 -2.518
1.098 -0.460 -3.783
1.089 -3.575 -1.329
ATOMIC_POSITIONS crystal
Be 0.250 0.250 0.250
P 0.500 0.500 0.500
Be 0.000 0.000 0.000
Rh 0.750 0.750 0.750
! - energy of formation (meV/atom) = -59

! BeV2Ni, optimized geometry, DFT PBE; values from VASP
&SYSTEM
  ibrav = 0, nat = 4, ntyp = 3
/
ATOMIC_SPECIES
Be 9.01 Be.upf
V 50.94 V.upf
Ni 58.69 Ni.upf
CELL_PARAMETERS angstrom
3.714 0.000 0.000
0.000 3.516 0.000
0.000 0.000 3.516
ATOMIC_POSITIONS crystal
Be 0.500 0.000 0.000
V 0.000 0.500 0.000
Ni 0.500 0.500 0.500
V 0.000 0.000 0.500
! - energy of formation (meV/atom) = -97

! TeAs2PbW, optimized geometry, DFT PBE; values from VASP
&SYSTEM
  ibrav = 0, nat = 5, ntyp = 4
/
ATOMIC_SPECIES
Te 127.60 Te.upf
Pb 207.20 Pb.upf
As 74.92 As.upf
W 183.84 W.upf
CELL_PARAMETERS angstrom
-5.256 0.871 0.005
-0.731 -4.427 3.036
0.492 2.945 4.413
ATOMIC_POSITIONS crystal
Te 0.500 0.500 0.500
Pb 0.000 0.000 0.000
As 0.500 0.000 0.000
As 0.000 0.000 0.500
W 0.000 0.500 0.000
! - formation energy (no corrections) (kJ/mol of formula units) = 883

! Na4Tl3CuO8, optimized geometry, DFT PBE; values from VASP
&SYSTEM
  ibrav = 0, nat = 16, ntyp = 4
/
ATOMIC_SPECIES
Tl 204.38 Tl.upf
O 16.00 O.upf
Na 22.99 Na.upf
Cu 63.55 Cu.upf
CELL_PARAMETERS angstrom
6.483 0.000 0.000
0.000 6.616 0.012
-3.241 -3.293 5.099
ATOMIC_POSITIONS crystal
Tl 0.000 0.500 0.500
O 0.281 0.757 0.563
O 0.201 0.694 0.983
Na 0.500 0.000 0.000
O 0.782 0.694 0.983
Na 0.000 0.000 0.000
O 0.719 0.243 0.437
O 0.799 0.306 0.017
Na 0.500 0.000 0.500
Tl 0.500 0.500 0.000
O 0.265 0.271 0.530
Tl 0.500 0.500 0.500
O 0.218 0.306 0.017
Cu 0.000 0.500 0.000
Na 0.000 0.000 0.500
O 0.735 0.729 0.470
! - formation energy (no corrections) (kJ/mol of formula units) = -1555

Calculated volume, record by record: 177 106 263 116 118 55 614 343 62 159 429 154 96 72 59 207 160 409 177 70 66 44 46 154 219 Å³ per cell
Spin magnetization, record by record: 0.00 0.00 0.00 0.00 5.79 0.00 1.03 2.00 0.00 0.00 16.20 0.00 0.00 0.00 0.00 0.00 2.28 3.52 3.69 0.00 1.21 0.00 0.00 2.64 0.00 μB per cell